(1)
A plane-wave DFT calculation with PBE was carried out for a relaxed Y5Ir4 crystal.

E above lowest polymorph ... 0.0 meV/atom
Uncorrected energy ... -8.166 eV/atom
M_tot ... 0.000 μB per formula unit

Cell: 8.5211 8.5211 6.3218 Å, 90.00 90.00 120.00°
Closest atoms and distances in Å follow each position.
Space group P6_3/mcm (No. 193)
Inequivalent atoms, fractional coordinates:
Y 0.0000 0.2689 0.2500 x6  5 Ir 2.78-2.99
Y 0.3333 0.6667 0.0000 x4  6 Ir 3.05, 2 Y 3.16
Ir 0.0000 0.0000 0.0000 x2  6 Y 2.78
Ir 0.0000 0.3965 0.7500 x6  7 Y 2.85-3.05

***

(2)
A plane-wave DFT calculation with PBE was carried out for a relaxed YIr crystal.

Uncorrected energy ... -8.127 eV/atom
M_tot ... 0.000 μB per formula unit

Cell: 8.9493 8.9493 4.4317 Å, 90.00 90.00 90.00°
Closest atoms and distances in Å follow each position.
Space group I4/mmm (No. 139)
Inequivalent atoms, fractional coordinates:
Y 0.0000 0.2742 0.0000 x8  6 Ir 2.83-3.09
Ir 0.1612 0.1612 0.5000 x8  6 Y 2.83-3.09, 4 Ir 2.89-3.16

***

(3)
A plane-wave DFT calculation with PBE was carried out for a relaxed YIr5 crystal.

Uncorrected energy ... -8.545 eV/atom
M_tot ... 0.000 μB per formula unit

Cell: 10.3342 2.8344 6.7647 Å, 90.00 103.61 90.00°
Closest atoms and distances in Å follow each position.
Space group Cm (No. 8)
Inequivalent atoms, fractional coordinates:
Y 0.0000 0.0000 0.0000 x2  10 Ir 2.75-2.94, 2 Y 2.83
Ir 0.1213 0.5000 0.7083 x2  10 Ir 2.71-2.87, 2 Y 2.94
Ir 0.1840 0.5000 0.3295 x2  10 Ir 2.74-2.87, 2 Y 2.93
Ir 0.2708 0.0000 0.0398 x2  7 Ir 2.74-2.86, 3 Y 2.75-2.83
Ir 0.3372 0.0000 0.6533 x2  10 Ir 2.71-2.87, 2 Y 2.91
Ir 0.4595 0.5000 0.4072 x2  9 Ir 2.71-2.87, 1 Y 2.88

***

Looking at ΔE_f for the records above, in order, we have -0.637 -0.465 -0.083 eV per atom.